# 1
This record from Alexandria describes a relaxed structure of Hf5Bi3B. The functional is PBE-GGA.

a b c (Å): 8.6702 8.6702 5.8358
angles (deg): 90.00 90.00 120.00
Space group P6_3/mcm (No. 193)
Symmetry-distinct sites (fractional):
Hf1 0.0000 0.2218 0.2500 (multiplicity 6)
Hf2 0.3333 0.6667 0.0000 (multiplicity 4)
Bi1 0.0000 0.3996 0.7500 (multiplicity 6)
B1 0.0000 0.0000 0.0000 (multiplicity 2)

Values from the calculation:
M_tot: 0.000 μB per formula unit
Calculated formation energy: -0.276 eV/atom

---

# 2
This record from Alexandria describes a relaxed structure of Na3ScPb12. The functional is PBE-GGA.

a b c (Å): 4.834 4.834 20.043
angles (deg): 90.00 90.00 90.00
Space group P4/mmm (No. 123)
Symmetry-distinct sites (fractional):
Na1 0.000 0.000 0.000 (multiplicity 1)
Na2 0.000 0.000 0.253 (multiplicity 2)
Sc1 0.000 0.000 0.500 (multiplicity 1)
Pb1 0.000 0.500 0.126 (multiplicity 4)
Pb2 0.000 0.500 0.379 (multiplicity 4)
Pb3 0.500 0.500 0.000 (multiplicity 1)
Pb4 0.500 0.500 0.250 (multiplicity 2)
Pb5 0.500 0.500 0.500 (multiplicity 1)

Values from the calculation:
M_tot: 0.000 μB per formula unit
Calculated formation energy: -0.122 eV/atom

---

# 3
This record from Alexandria describes a relaxed structure of CsBa2InF8. The functional is PBE-GGA.

a b c (Å): 4.676 8.614 5.987
angles (deg): 90.00 98.44 90.00
Space group P2/m (No. 10)
Symmetry-distinct sites (fractional):
Cs1 0.000 0.000 0.000 (multiplicity 1)
Ba1 0.500 0.257 0.500 (multiplicity 2)
In1 0.000 0.500 0.000 (multiplicity 1)
F1 0.056 0.317 0.765 (multiplicity 4)
F2 0.409 0.500 0.209 (multiplicity 2)
F3 0.437 0.000 0.713 (multiplicity 2)

Values from the calculation:
E_form (uncorrected): -38.5 eV/f.u.
M_tot: 0.000 μB per formula unit

---

Please write out number 2 again, unchanged.
This record from Alexandria describes a relaxed structure of Na3ScPb12. The functional is PBE-GGA.

a b c (Å): 4.834 4.834 20.043
angles (deg): 90.00 90.00 90.00
Space group P4/mmm (No. 123)
Symmetry-distinct sites (fractional):
Na1 0.000 0.000 0.000 (multiplicity 1)
Na2 0.000 0.000 0.253 (multiplicity 2)
Sc1 0.000 0.000 0.500 (multiplicity 1)
Pb1 0.000 0.500 0.126 (multiplicity 4)
Pb2 0.000 0.500 0.379 (multiplicity 4)
Pb3 0.500 0.500 0.000 (multiplicity 1)
Pb4 0.500 0.500 0.250 (multiplicity 2)
Pb5 0.500 0.500 0.500 (multiplicity 1)

Values from the calculation:
M_tot: 0.000 μB per formula unit
Calculated formation energy: -0.122 eV/atom